Below is Cr2InFe after structural relaxation, with properties calculated at the PBE level.

abc: 8.712 8.712 8.712
angles: 18.48 18.48 18.48
Site moments in Bohr magnetons follow the coordinates.
Sites, in units of the cell vectors:
Cr 0.990 0.990 0.990  -1.65
Cr 0.510 0.510 0.510  -1.65
Fe 0.250 0.250 0.250  1.99
In 0.750 0.750 0.750  0.06

Summary:
* DOS(E_F): 4.38 states/eV per cell


Below is Cr2InFe after structural relaxation, with properties calculated at the PBE level.

abc: 3.157 3.154 5.775
angles: 90.00 90.00 90.00
Site moments in Bohr magnetons follow the coordinates.
Sites, in units of the cell vectors:
Cr 0.000 0.000 0.067  0.16
Cr 0.000 0.000 0.433  0.16
Fe 0.500 0.500 0.250  2.05
In 0.500 0.500 0.750  0.00

Summary:
* DOS(E_F): 2.82 states/eV per cell


Energy of formation, respectively: 579; 321 meV/atom.